The following is a PBEsol calculation of an optimized crystal structure of Li3CaSn, from Alexandria via LeMat-Bulk.

```
Li3CaSn
1.0
5.054 0.000 0.000
0.000 5.054 0.000
0.000 0.000 5.054
Li Ca Sn
3 1 1
direct
0.000 0.000 0.500 Li
0.000 0.500 0.000 Li
0.500 0.000 0.000 Li
0.500 0.500 0.500 Ca
0.000 0.000 0.000 Sn
```

Output
symmetry	No. 221
size of the total moment	0.00	μB per cell
calculated formation energy	-0.134	eV per atom


The following is a PBEsol calculation of an optimized crystal structure of In2SeBr, from Alexandria via LeMat-Bulk.

```
In2SeBr
1.0
4.289 0.000 0.000
0.000 4.289 0.000
0.000 0.000 6.102
In Se Br
2 1 1
direct
0.000 0.000 0.000 In
0.500 0.500 0.500 In
0.000 0.000 0.500 Se
0.500 0.500 0.000 Br
```

Output
symmetry	No. 123
uncorrected formation energy	-0.398	eV per atom
offset from the most stable computed form	0	meV per atom
size of the total moment	0.00	μB per cell


The following is a PBEsol calculation of an optimized crystal structure of TiRe2Cl, from Alexandria via LeMat-Bulk.

```
TiRe2Cl
1.0
0.000 3.082 3.082
3.082 0.000 3.082
3.082 3.082 0.000
Ti Re Cl
1 2 1
direct
0.000 0.000 0.000 Ti
0.250 0.250 0.250 Re
0.750 0.750 0.750 Re
0.500 0.500 0.500 Cl
```

Output
symmetry	No. 225
uncorrected formation energy	0.892	eV per atom
size of the total moment	0.00	μB per cell


The following is a PBEsol calculation of an optimized crystal structure of NaMn2CoI, from Alexandria via LeMat-Bulk.

```
NaMn2CoI
1.0
4.412 0.000 0.000
0.000 4.412 0.000
0.000 0.000 5.516
Na Mn Co I
1 2 1 1
direct
0.000 0.000 0.000 Na
0.000 0.500 0.500 Mn
0.500 0.000 0.500 Mn
0.000 0.000 0.500 Co
0.500 0.500 0.000 I
```

Output
symmetry	No. 123
uncorrected formation energy	0.809	eV per atom
size of the total moment	7.95	μB per cell


The following is a PBEsol calculation of an optimized crystal structure of ZrTe, from Alexandria via LeMat-Bulk.

```
ZrTe
1.0
1.799 1.038 4.178
-1.799 1.038 4.178
0.000 -2.077 4.178
Zr Te
1 1
direct
0.000 0.000 0.000 Zr
0.500 0.500 0.500 Te
```

Output
symmetry	No. 166
uncorrected formation energy	-0.614	eV per atom
size of the total moment	0.00	μB per cell


The following is a PBEsol calculation of an optimized crystal structure of AgAsSe2, from Alexandria via LeMat-Bulk.

```
AgAsSe2
1.0
5.360 0.000 0.000
0.000 5.360 0.000
0.000 0.000 2.863
Ag As Se
1 1 2
direct
0.000 0.000 0.000 Ag
0.500 0.500 0.000 As
0.000 0.500 0.000 Se
0.500 0.000 0.000 Se
```

Output
symmetry	No. 123
uncorrected formation energy	0.045	eV per atom
size of the total moment	0.00	μB per cell


The following is a PBEsol calculation of an optimized crystal structure of NiBi2P, from Alexandria via LeMat-Bulk.

```
NiBi2P
1.0
-3.019 3.019 5.922
3.019 -3.019 5.922
3.019 3.019 -5.922
Ni Bi P
2 4 2
direct
0.000 0.000 0.000 Ni
0.750 0.250 0.500 Ni
0.094 0.625 0.969 Bi
0.375 0.344 0.469 Bi
0.656 0.125 0.031 Bi
0.875 0.906 0.531 Bi
0.250 0.750 0.500 P
0.500 0.500 0.000 P
```

Output
symmetry	No. 122
size of the total moment	0.00	μB per cell
calculated formation energy	0.301	eV per atom


The following is a PBEsol calculation of an optimized crystal structure of LiTl4Si, from Alexandria via LeMat-Bulk.

```
LiTl4Si
1.0
0.000 4.368 4.368
4.368 0.000 4.368
4.368 4.368 0.000
Li Tl Si
1 4 1
direct
0.000 0.000 0.000 Li
0.126 0.625 0.625 Tl
0.625 0.126 0.625 Tl
0.625 0.625 0.126 Tl
0.625 0.625 0.625 Tl
0.250 0.250 0.250 Si
```

Output
symmetry	No. 216
uncorrected formation energy	0.368	eV per atom
size of the total moment	0.00	μB per cell


The following is a PBEsol calculation of an optimized crystal structure of Ta2ReIr, from Alexandria via LeMat-Bulk.

```
Ta2ReIr
1.0
2.758 0.000 0.000
0.000 4.361 0.000
-0.867 0.000 5.261
Ta Re Ir
2 1 1
direct
0.233 0.000 0.254 Ta
0.767 0.000 0.746 Ta
0.000 0.500 0.500 Re
0.500 0.500 0.000 Ir
```

Output
symmetry	No. 10
size of the total moment	0.00	μB per cell
calculated formation energy	-0.202	eV per atom


The following is a PBEsol calculation of an optimized crystal structure of TiCoPO2, from Alexandria via LeMat-Bulk.

```
TiCoPO2
1.0
3.596 0.000 0.000
0.000 3.596 0.000
0.000 0.000 4.480
Ti Co P O
1 1 1 2
direct
0.000 0.000 0.000 Ti
0.500 0.500 0.500 Co
0.500 0.500 0.000 P
0.000 0.500 0.500 O
0.500 0.000 0.500 O
```

Output
symmetry	No. 123
uncorrected formation energy	-0.589	eV per atom
size of the total moment	0.79	μB per cell


The following is a PBEsol calculation of an optimized crystal structure of LaSb2S2, from Alexandria via LeMat-Bulk.

```
LaSb2S2
1.0
8.073 0.000 0.000
0.000 8.073 0.000
0.000 0.000 3.880
La Sb S
2 4 4
direct
0.000 0.000 0.000 La
0.500 0.500 0.000 La
0.129 0.371 0.000 Sb
0.371 0.871 0.000 Sb
0.629 0.129 0.000 Sb
0.871 0.629 0.000 Sb
0.213 0.713 0.500 S
0.287 0.213 0.500 S
0.713 0.787 0.500 S
0.787 0.287 0.500 S
```

Output
symmetry	No. 127
uncorrected formation energy	-0.464	eV per atom
size of the total moment	0.00	μB per cell


The following is a PBEsol calculation of an optimized crystal structure of ScAu5, from Alexandria via LeMat-Bulk.

```
ScAu5
1.0
4.993 0.000 0.000
-2.497 4.324 0.000
0.000 0.000 4.804
Sc Au
1 5
direct
0.000 0.000 0.000 Sc
0.000 0.671 0.500 Au
0.329 0.329 0.500 Au
0.333 0.667 0.000 Au
0.667 0.333 0.000 Au
0.671 0.000 0.500 Au
```

Output
symmetry	No. 189
size of the total moment	0.00	μB per cell
calculated formation energy	-0.413	eV per atom


The following is a PBEsol calculation of an optimized crystal structure of Cu3PSe2S2, from Alexandria via LeMat-Bulk.

```
Cu3PSe2S2
1.0
7.290 0.000 0.000
0.000 6.466 0.000
0.000 0.000 6.187
Cu P Se S
6 2 4 4
direct
0.000 0.174 0.000 Cu
0.246 0.339 0.542 Cu
0.254 0.661 0.042 Cu
0.500 0.826 0.500 Cu
0.746 0.661 0.042 Cu
0.754 0.339 0.542 Cu
0.000 0.818 0.511 P
0.500 0.182 0.011 P
0.000 0.145 0.387 Se
0.000 0.826 0.876 Se
0.500 0.174 0.376 Se
0.500 0.855 0.887 Se
0.237 0.659 0.401 S
0.263 0.341 0.901 S
0.737 0.341 0.901 S
0.763 0.659 0.401 S
```

Output
symmetry	No. 31
uncorrected formation energy	-0.205	eV per atom
size of the total moment	0.00	μB per cell


The following is a PBEsol calculation of an optimized crystal structure of Tb7Rh3, from Alexandria via LeMat-Bulk.

```
Tb7Rh3
1.0
9.673 0.000 0.000
-4.837 8.377 0.000
0.000 0.000 6.062
Tb Rh
14 6
direct
0.081 0.540 0.000 Tb
0.124 0.247 0.300 Tb
0.124 0.876 0.300 Tb
0.247 0.124 0.800 Tb
0.333 0.667 0.513 Tb
0.460 0.540 0.000 Tb
0.460 0.919 0.000 Tb
0.540 0.081 0.500 Tb
0.540 0.460 0.500 Tb
0.667 0.333 0.013 Tb
0.753 0.876 0.300 Tb
0.876 0.124 0.800 Tb
0.876 0.753 0.800 Tb
0.919 0.460 0.500 Tb
0.190 0.379 0.739 Rh
0.190 0.810 0.739 Rh
0.379 0.190 0.239 Rh
0.621 0.810 0.739 Rh
0.810 0.190 0.239 Rh
0.810 0.621 0.239 Rh
```

Output
symmetry	No. 186
size of the total moment	0.00	μB per cell
calculated formation energy	-0.569	eV per atom


The following is a PBEsol calculation of an optimized crystal structure of CaBPb3, from Alexandria via LeMat-Bulk.

```
CaBPb3
1.0
5.103 0.000 0.000
0.000 5.103 0.000
0.000 0.000 5.103
Ca B Pb
1 1 3
direct
0.000 0.000 0.000 Ca
0.500 0.500 0.500 B
0.000 0.500 0.500 Pb
0.500 0.000 0.500 Pb
0.500 0.500 0.000 Pb
```

Output
symmetry	No. 221
size of the total moment	0.00	μB per cell
calculated formation energy	0.394	eV per atom


The following is a PBEsol calculation of an optimized crystal structure of Na3MnCr, from Alexandria via LeMat-Bulk.

```
Na3MnCr
1.0
5.567 0.000 0.000
0.000 5.567 0.000
0.000 0.000 5.567
Na Mn Cr
3 1 1
direct
0.000 0.000 0.500 Na
0.000 0.500 0.000 Na
0.500 0.000 0.000 Na
0.000 0.000 0.000 Mn
0.500 0.500 0.500 Cr
```

Output
symmetry	No. 221
size of the total moment	9.59	μB per cell
calculated formation energy	1.430	eV per atom


The following is a PBEsol calculation of an optimized crystal structure of Co2ReNiTe, from Alexandria via LeMat-Bulk.

```
Co2ReNiTe
1.0
4.170 0.000 0.000
0.000 4.170 0.000
0.000 0.000 4.528
Co Re Ni Te
2 1 1 1
direct
0.000 0.500 0.000 Co
0.500 0.000 0.000 Co
0.000 0.000 0.500 Re
0.500 0.500 0.000 Ni
0.500 0.500 0.500 Te
```

Output
symmetry	No. 123
uncorrected formation energy	1.527	eV per atom
size of the total moment	3.54	μB per cell


The following is a PBEsol calculation of an optimized crystal structure of Te2MoAs, from Alexandria via LeMat-Bulk.

```
Te2MoAs
1.0
3.414 0.000 0.000
0.000 4.607 0.000
0.000 0.000 5.231
Te Mo As
2 1 1
direct
0.000 0.000 0.000 Te
0.500 0.000 0.500 Te
0.000 0.500 0.500 Mo
0.500 0.500 0.000 As
```

Output
symmetry	No. 47
uncorrected formation energy	0.682	eV per atom
size of the total moment	0.56	μB per cell


The following is a PBEsol calculation of an optimized crystal structure of SrNiTe2, from Alexandria via LeMat-Bulk.

```
SrNiTe2
1.0
-2.571 2.571 3.775
2.571 -2.571 3.775
2.571 2.571 -3.775
Sr Ni Te
1 1 2
direct
0.000 0.000 0.000 Sr
0.500 0.500 0.000 Ni
0.250 0.750 0.500 Te
0.750 0.250 0.500 Te
```

Output
symmetry	No. 139
uncorrected formation energy	-0.214	eV per atom
size of the total moment	0.97	μB per cell


The following is a PBEsol calculation of an optimized crystal structure of KLiBe2, from Alexandria via LeMat-Bulk.

```
KLiBe2
1.0
1.361 0.786 9.920
-1.361 0.786 9.920
0.000 -1.571 9.920
K Li Be
1 1 2
direct
0.000 0.000 0.000 K
0.500 0.500 0.500 Li
0.239 0.239 0.239 Be
0.761 0.761 0.761 Be
```

Output
symmetry	No. 166
offset from the most stable computed form	0	meV per atom
size of the total moment	0.00	μB per cell
calculated formation energy	0.957	eV per atom


The following is a PBEsol calculation of an optimized crystal structure of RbGeP2, from Alexandria via LeMat-Bulk.

```
RbGeP2
1.0
-3.671 3.671 3.800
3.671 -3.671 3.800
3.671 3.671 -3.800
Rb Ge P
2 2 4
direct
0.000 0.000 0.000 Rb
0.750 0.250 0.500 Rb
0.250 0.750 0.500 Ge
0.500 0.500 0.000 Ge
0.225 0.625 0.100 P
0.375 0.475 0.600 P
0.525 0.125 0.900 P
0.875 0.775 0.400 P
```

Output
symmetry	No. 122
size of the total moment	0.00	μB per cell
calculated formation energy	0.036	eV per atom


The following is a PBEsol calculation of an optimized crystal structure of PdS2NO, from Alexandria via LeMat-Bulk.

```
PdS2NO
1.0
4.836 0.000 0.000
0.000 4.836 0.000
0.000 0.000 3.606
Pd S N O
1 2 1 1
direct
0.000 0.000 0.000 Pd
0.000 0.500 0.000 S
0.500 0.000 0.000 S
0.000 0.000 0.500 N
0.500 0.500 0.500 O
```

Output
symmetry	No. 123
uncorrected formation energy	1.488	eV per atom
size of the total moment	3.54	μB per cell


The following is a PBEsol calculation of an optimized crystal structure of In2PI, from Alexandria via LeMat-Bulk.

```
In2PI
1.0
0.000 3.685 3.685
3.685 0.000 3.685
3.685 3.685 0.000
In P I
2 1 1
direct
0.250 0.250 0.250 In
0.750 0.750 0.750 In
0.000 0.000 0.000 P
0.500 0.500 0.500 I
```

Output
symmetry	No. 225
uncorrected formation energy	0.222	eV per atom
size of the total moment	0.00	μB per cell


The following is a PBEsol calculation of an optimized crystal structure of Si4Rh3, from Alexandria via LeMat-Bulk.

```
Si4Rh3
1.0
18.746 0.000 0.000
0.000 3.622 0.000
0.000 0.000 5.776
Si Rh
16 12
direct
0.050 0.250 0.021 Si
0.090 0.250 0.567 Si
0.143 0.750 0.111 Si
0.232 0.250 0.282 Si
0.268 0.750 0.782 Si
0.357 0.250 0.611 Si
0.410 0.750 0.067 Si
0.450 0.750 0.521 Si
0.550 0.250 0.479 Si
0.590 0.250 0.933 Si
0.643 0.750 0.389 Si
0.732 0.250 0.218 Si
0.768 0.750 0.718 Si
0.857 0.250 0.889 Si
0.910 0.750 0.433 Si
0.950 0.750 0.979 Si
0.032 0.750 0.313 Rh
0.175 0.250 0.884 Rh
0.176 0.750 0.498 Rh
0.324 0.250 0.998 Rh
0.325 0.750 0.384 Rh
0.468 0.250 0.813 Rh
0.532 0.750 0.187 Rh
0.675 0.250 0.616 Rh
0.676 0.750 0.002 Rh
0.824 0.250 0.502 Rh
0.825 0.750 0.116 Rh
0.968 0.250 0.687 Rh
```

Output
symmetry	No. 62
uncorrected formation energy	-0.787	eV per atom
size of the total moment	0.00	μB per cell


The following is a PBEsol calculation of an optimized crystal structure of Ca3AsW, from Alexandria via LeMat-Bulk.

```
Ca3AsW
1.0
5.473 0.000 0.000
0.000 5.473 0.000
0.000 0.000 5.473
Ca As W
3 1 1
direct
0.000 0.000 0.500 Ca
0.000 0.500 0.000 Ca
0.500 0.000 0.000 Ca
0.000 0.000 0.000 As
0.500 0.500 0.500 W
```

Output
symmetry	No. 221
size of the total moment	5.39	μB per cell
calculated formation energy	0.656	eV per atom


The following is a PBEsol calculation of an optimized crystal structure of CoTc2Te, from Alexandria via LeMat-Bulk.

```
CoTc2Te
1.0
2.884 0.000 0.000
0.000 3.889 0.000
-0.846 0.000 5.368
Co Tc Te
1 2 1
direct
0.000 0.000 0.000 Co
0.417 0.500 0.783 Tc
0.583 0.500 0.217 Tc
0.000 0.000 0.500 Te
```

Output
symmetry	No. 10
uncorrected formation energy	0.491	eV per atom
size of the total moment	0.66	μB per cell


Number 1: final energy -2.592 eV/atom. Number 2: final energy -3.320 eV/atom. Number 3: final energy -8.357 eV/atom. Number 4: final energy -5.276 eV/atom. Number 5: final energy -6.922 eV/atom. Number 6: final energy -3.985 eV/atom. Number 7: final energy -4.829 eV/atom. Number 8: final energy -2.671 eV/atom. Number 9: final energy -12.267 eV/atom. Number 10: final energy -7.059 eV/atom. Number 11: final energy -5.109 eV/atom. Number 12: final energy -4.784 eV/atom. Number 13: final energy -4.613 eV/atom. Number 14: final energy -6.518 eV/atom. Number 15: final energy -3.836 eV/atom. Number 16: final energy -3.410 eV/atom. Number 17: final energy -6.171 eV/atom. Number 18: final energy -5.300 eV/atom. Number 19: final energy -3.976 eV/atom. Number 20: final energy -1.818 eV/atom. Number 21: final energy -4.351 eV/atom. Number 22: final energy -4.213 eV/atom. Number 23: final energy -3.159 eV/atom. Number 24: final energy -7.558 eV/atom. Number 25: final energy -4.406 eV/atom. Number 26: final energy -7.958 eV/atom.